Y2CdMo | GGA-PBE | optimized geometry

Computed properties:
E_form = 0.3164 eV per atom
Calculated total energy = -5.852 eV/atom

a = 3.861 Å, b = 3.861 Å, c = 6.518 Å
α = 90.00°, β = 90.00°, γ = 90.00°
Space group P4mm (No. 99)
Inequivalent atoms, fractional coordinates:
1 Y 0.000 0.000 0.000 (multiplicity 1)
2 Y 0.500 0.500 0.315 (multiplicity 1)
3 Cd 0.000 0.000 0.555 (multiplicity 1)
4 Mo 0.500 0.500 0.813 (multiplicity 1)